7
Lattice="4.395 0.000 1.373 1.983 3.922 1.373 -0.064 -0.039 7.925" Properties=species:S:1:pos:R:3 comment="Mg4Ag2Pd (GGA-PBE, relaxed)" final_energy_ev_per_fu=-19.54 ef_mev_per_atom=-323.2 sg=R-3m pbc="T T T"
Mg 0.767 0.472 5.266
Mg 3.968 2.440 2.741
Ag 1.597 0.982 2.609
Ag 4.717 2.901 8.062
Mg 2.346 1.443 7.930
Pd 0.000 0.000 0.000
Mg 5.547 3.411 5.406

4
Lattice="-5.197 3.910 -0.780 -5.991 1.246 2.336 -0.080 3.896 3.311" Properties=species:S:1:pos:R:3 comment="CaY2Sb (GGA-PBE, relaxed)" final_energy_ev_per_fu=-20.85 sg=Imm2 pbc="T T T"
Sb -2.854 2.267 1.211
Y -8.425 6.786 3.655
Y -10.865 5.119 1.608
Ca -5.946 4.561 2.384

24
Lattice="3.885 -0.004 0.000 0.006 5.478 0.000 0.000 0.000 8.146" Properties=species:S:1:pos:R:3 comment="Fe2H3Ru (GGA-PBE, relaxed)" final_energy_ev_per_fu=-35.91 sg=Pnma pbc="T T T"
H 0.975 0.692 2.060
H 0.974 3.459 4.795
Ru 2.914 0.683 7.437
Ru 0.977 4.791 0.709
H 0.971 0.675 4.743
Fe 0.977 4.798 3.415
H 0.971 0.720 7.424
Ru 0.974 2.052 3.364
Fe 0.973 2.083 6.130
Fe 2.915 0.651 2.057
Fe 0.976 4.822 6.089
Fe 0.974 2.059 0.658
Ru 2.917 3.422 4.782
H 2.917 2.015 3.351
H 2.913 2.042 6.133
H 0.978 3.431 2.013
H 0.974 3.414 7.476
H 2.920 4.798 3.403
Fe 2.915 0.676 4.731
H 2.916 4.781 6.086
Fe 2.917 3.415 7.488
H 2.920 4.754 0.722
Fe 2.918 3.390 2.016
H 2.917 2.059 0.670

9
Lattice="4.789 0.000 0.000 0.000 4.789 0.000 0.000 0.000 7.704" Properties=species:S:1:pos:R:3 comment="AcCdGa2Pt5 (GGA-PBE, relaxed)" final_energy_ev_per_fu=-45.51 ef_mev_per_atom=-469.6 sg=P4/mmm pbc="T T T"
Pt 2.394 0.000 5.921
Cd 0.000 0.000 0.000
Pt 0.000 2.394 1.784
Pt 2.394 0.000 1.784
Pt 2.394 2.394 3.852
Ac 0.000 0.000 3.852
Ga 2.394 2.394 1.263
Ga 2.394 2.394 6.442
Pt 0.000 2.394 5.921